(1)
VASP calculation (PBE) on a relaxed ZrGaRuPt crystal.

```
data_ZrGaRuPt
_cell_length_a 6.404
_cell_length_b 6.404
_cell_length_c 6.404
_cell_angle_alpha 90.00
_cell_angle_beta 90.00
_cell_angle_gamma 90.00
_symmetry_space_group_name_H-M 'F -4 3 m'
_symmetry_Int_Tables_number 216
_symmetry_space_group_name_Hall 'F -4 2 3'
loop_
_atom_site_label
_atom_site_type_symbol
_atom_site_fract_x
_atom_site_fract_y
_atom_site_fract_z
Zr1 Zr 0.000 0.000 0.000
Ga1 Ga 0.000 0.000 0.500
Ru1 Ru 0.250 0.250 0.750
Pt1 Pt 0.250 0.250 0.250
```

Results
The calculation puts the energy of formation at -651 meV per atom. The calculation puts the polymorph energy (0 for the lowest one) at 0.31 eV/f.u. The value obtained for the density is 11.56 g/cm³.

---

(2)
VASP calculation (PBE) on a relaxed HgB2S4 crystal.

```
data_HgB2S4
_cell_length_a 14.555
_cell_length_b 6.909
_cell_length_c 11.189
_cell_angle_alpha 90.00
_cell_angle_beta 130.55
_cell_angle_gamma 90.00
_symmetry_space_group_name_H-M 'C 1 2 1'
_symmetry_Int_Tables_number 5
_symmetry_space_group_name_Hall 'C 2y'
loop_
_atom_site_label
_atom_site_type_symbol
_atom_site_fract_x
_atom_site_fract_y
_atom_site_fract_z
Hg1 Hg 0.000 0.000 0.000
Hg2 Hg 0.000 0.246 0.500
B1 B 0.048 0.506 0.325
B2 B 0.223 0.258 0.175
S1 S 0.009 0.733 0.273
S2 S 0.089 0.266 0.381
S3 S 0.208 0.018 0.118
S4 S 0.236 0.485 0.227
```

Results
For the raw formation energy, the calculation gives -0.0877 eV per atom. The value obtained for the density is 2.72 g/cm³.

---

(3)
VASP calculation (PBE) on a relaxed LaFeGe2 crystal.

```
data_LaFeGe2
_cell_length_a 4.938
_cell_length_b 4.938
_cell_length_c 15.411
_cell_angle_alpha 90.00
_cell_angle_beta 90.00
_cell_angle_gamma 90.00
_symmetry_space_group_name_H-M 'I -4 2 d'
_symmetry_Int_Tables_number 122
_symmetry_space_group_name_Hall 'I -4 2bw'
loop_
_atom_site_label
_atom_site_type_symbol
_atom_site_fract_x
_atom_site_fract_y
_atom_site_fract_z
La1 La 0.000 0.000 0.000
Fe1 Fe 0.000 0.000 0.500
Ge1 Ge 0.031 0.250 0.625
```

Results
The calculation puts the energy of formation at -237 meV per atom. The value obtained for the density is 6.01 g/cm³.

---

(4)
VASP calculation (PBE) on a relaxed Li3H2Pd crystal.

```
data_Li3H2Pd
_cell_length_a 6.659
_cell_length_b 6.742
_cell_length_c 5.514
_cell_angle_alpha 90.00
_cell_angle_beta 90.00
_cell_angle_gamma 90.00
_symmetry_space_group_name_H-M 'C m c m'
_symmetry_Int_Tables_number 63
_symmetry_space_group_name_Hall '-C 2c 2'
loop_
_atom_site_label
_atom_site_type_symbol
_atom_site_fract_x
_atom_site_fract_y
_atom_site_fract_z
Li1 Li 0.000 0.208 0.250
Li2 Li 0.201 0.500 0.000
H1 H 0.000 0.000 0.000
H2 H 0.000 0.460 0.750
Pd1 Pd 0.000 0.196 0.750
```

Results
The calculation puts the polymorph energy (0 for the lowest one) at 0.00 eV/f.u. The value obtained for the density is 3.47 g/cm³.